PmEr3B4O12 after structural relaxation, computed with PBE.

Calculated values
As for the symmetry: R32, No. 155. The formation energy from raw total energies is -3.09 eV per atom. The value obtained for the magnetic moment is 0.00 μB/f.u. The total energy comes out at -8.33 eV per atom.

a b c (Å): 6.486 6.486 6.486
angles (deg): 102.52 102.52 102.52
Positions (direct):
B 0.500 0.963 0.037
O 0.500 0.364 0.636
O 0.636 0.500 0.364
B 0.963 0.037 0.500
O 0.500 0.099 0.901
O 0.635 0.823 0.028
O 0.365 0.972 0.177
O 0.028 0.635 0.823
Pm 0.000 0.000 0.000
Er 0.463 0.000 0.537
O 0.972 0.177 0.365
O 0.099 0.901 0.500
O 0.823 0.028 0.635
O 0.901 0.500 0.099
O 0.364 0.636 0.500
Er 0.000 0.537 0.463
B 0.500 0.500 0.500
O 0.177 0.365 0.972
Er 0.537 0.463 0.000
B 0.037 0.500 0.963

=====

BaSr2Ag after structural relaxation, computed with PBE.

Calculated values
As for the symmetry: I-4m2, No. 119. For the formation energy, the calculation gives 7 kJ per mole of atoms. The value obtained for the magnetic moment is 0.00 μB/f.u. The distance to the lowest polymorph of the same formula comes out at 227 meV/atom. The total energy comes out at -1.96 eV per atom.

a b c (Å): 7.074 7.074 7.074
angles (deg): 135.20 135.20 65.21
Positions (direct):
Sr 0.000 0.000 0.000
Ba 0.750 0.250 0.500
Sr 0.250 0.750 0.500
Ag 0.500 0.500 0.000

=====

Ba4InI4 after structural relaxation, computed with PBE.

Calculated values
As for the symmetry: I-42m, No. 121. The formation energy from raw total energies is -1.02 eV per atom. The value obtained for the magnetic moment is 0.00 μB/f.u. The total energy comes out at -2.87 eV per atom.

a b c (Å): 9.114 9.114 8.599
angles (deg): 122.00 122.00 90.00
Positions (direct):
I 0.000 0.500 0.000
Ba 0.089 0.089 0.730
Ba 0.359 0.911 0.270
Ba 0.641 0.641 0.730
Ba 0.911 0.359 0.270
I 0.670 0.670 0.339
I 0.500 0.000 0.000
I 0.330 0.330 0.661
In 0.000 0.000 0.000

=====

Sm2ZnNi3Sn4 after structural relaxation, computed with PBE.

Calculated values
As for the symmetry: P-4m2, No. 115. For the formation energy, the calculation gives -47 kJ per mole of atoms. The value obtained for the magnetic moment is 0.00 μB/f.u. The total energy comes out at -4.90 eV per atom.

a b c (Å): 4.427 4.427 10.452
angles (deg): 90.00 90.00 90.00
Positions (direct):
Ni 0.500 0.000 0.877
Sm 0.500 0.000 0.251
Ni 0.000 0.500 0.123
Sn 0.000 0.500 0.361
Sn 0.000 0.000 0.000
Sn 0.500 0.000 0.639
Sm 0.000 0.500 0.749
Sn 0.500 0.500 0.000
Ni 0.000 0.000 0.500
Zn 0.500 0.500 0.500

=====

Q: Which formula does entry 4 have?
A: Sm2ZnNi3Sn4

=====

Q: What is the magnetic moment in the second record?
A: 0.00 μB/f.u.